No. 1
Here is a relaxed NaLi2U2S6 crystal from Alexandria. Energies are from GGA-PBE.

Cell: 6.9339 6.9339 6.4905 Å, 99.88 99.88 121.21°
Last column: nearest neighbours and their distance in Å.
Atoms (fractional coordinates):
Na: 0.0000 0.0000 0.0000  6 S 2.80-2.94
Li: 0.1654 0.8346 0.5000  6 S 2.62-2.82
Li: 0.8346 0.1654 0.5000  6 S 2.62-2.82
U: 0.3369 0.6631 0.0000  6 S 2.64-2.67
U: 0.6631 0.3369 0.0000  6 S 2.64-2.67
S: 0.0718 0.4422 0.2425  2 Li 2.62-2.82, 2 U 2.64-2.67
S: 0.2683 0.2683 0.7565  2 U 2.67, 1 Na 2.80, 2 Li 2.82
S: 0.4422 0.0718 0.2425  2 Li 2.62-2.82, 2 U 2.64-2.67
S: 0.5578 0.9282 0.7575  2 Li 2.62-2.82, 2 U 2.64-2.67
S: 0.7317 0.7317 0.2435  2 U 2.67, 1 Na 2.80, 2 Li 2.82
S: 0.9282 0.5578 0.7575  2 Li 2.62-2.82, 2 U 2.64-2.67

Computed properties:
- Space group: C2/m, No. 12
- Formation energy (no corrections): -1340 meV/atom

---

No. 2
Here is a relaxed Cs4CuTe2 crystal from Alexandria. Energies are from GGA-PBE.

Cell: 11.2275 11.2275 11.2275 Å, 33.62 33.62 33.62°
Last column: nearest neighbours and their distance in Å.
Atoms (fractional coordinates):
Cs: 0.1190 0.1190 0.1190  3 Te 3.87, 3 Cu 4.04
Cs: 0.2960 0.2960 0.2960  4 Te 4.02-4.09, 3 Cs 4.44
Cs: 0.7040 0.7040 0.7040  4 Te 4.02-4.09, 3 Cs 4.44
Cs: 0.8810 0.8810 0.8810  3 Te 3.87, 3 Cu 4.04
Cu: 0.5000 0.5000 0.5000  2 Te 2.46
Te: 0.4225 0.4225 0.4225  1 Cu 2.46
Te: 0.5775 0.5775 0.5775  1 Cu 2.46

Computed properties:
- Space group: R-3m, No. 166
- Formation energy (no corrections): -659 meV/atom

---

No. 3
Here is a relaxed PmGaRu2 crystal from Alexandria. Energies are from GGA-PBE.

Cell: 4.4952 4.4952 3.4510 Å, 90.00 90.00 90.00°
Last column: nearest neighbours and their distance in Å.
Atoms (fractional coordinates):
Pm: 0.0000 0.0000 0.0000  8 Ru 2.83
Ga: 0.5000 0.5000 0.0000  8 Ru 2.83
Ru: 0.0000 0.5000 0.5000  4 Pm 2.83, 4 Ga 2.83
Ru: 0.5000 0.0000 0.5000  4 Pm 2.83, 4 Ga 2.83

Computed properties:
- Calculated total energy: -26.769 eV/cell
- Space group: P4/mmm, No. 123

---

No. 4
Here is a relaxed AcCe2Er crystal from Alexandria. Energies are from GGA-PBE.

Cell: 5.0389 5.0389 5.2110 Å, 90.00 90.00 90.00°
Last column: nearest neighbours and their distance in Å.
Atoms (fractional coordinates):
Ac: 0.0000 0.0000 0.0000  4 Er 3.56, 8 Ce 3.62
Ce: 0.0000 0.5000 0.5000  4 Ce 3.56, 4 Ac 3.62, 4 Er 3.62
Ce: 0.5000 0.0000 0.5000  4 Ce 3.56, 4 Ac 3.62, 4 Er 3.62
Er: 0.5000 0.5000 0.0000  4 Ac 3.56, 8 Ce 3.62

Computed properties:
- E above lowest polymorph: 0 meV per atom
- Space group: P4/mmm, No. 123

---

No. 5
Here is a relaxed YSc2Hg crystal from Alexandria. Energies are from GGA-PBE.

Cell: 6.2034 6.2034 6.2034 Å, 145.09 132.58 60.22°
Last column: nearest neighbours and their distance in Å.
Atoms (fractional coordinates):
Y: 0.0000 0.0000 0.0000  2 Hg 3.15, 8 Sc 3.16-3.49
Sc: 0.2747 0.7747 0.5000  4 Hg 3.11, 2 Sc 3.46, 4 Y 3.47-3.49
Sc: 0.5507 0.5507 0.0000  2 Hg 2.94, 4 Y 3.16
Hg: 0.7628 0.2628 0.5000  6 Sc 2.94-3.11, 2 Y 3.15

Computed properties:
- Calculated total energy: -20.222 eV/cell
- Space group: Imm2, No. 44

---

No. 6
Here is a relaxed LuThTcHg crystal from Alexandria. Energies are from GGA-PBE.

Cell: 5.1042 5.1042 5.1042 Å, 60.00 60.00 60.00°
Last column: nearest neighbours and their distance in Å.
Atoms (fractional coordinates):
Lu: 0.0000 0.0000 0.0000  4 Tc 3.13, 4 Hg 3.13
Th: 0.5000 0.5000 0.5000  4 Hg 3.13, 4 Tc 3.13
Tc: 0.2500 0.2500 0.2500  4 Th 3.13, 4 Lu 3.13
Hg: 0.7500 0.7500 0.7500  4 Th 3.13, 4 Lu 3.13

Computed properties:
- Calculated total energy: -23.097 eV/cell
- Space group: F-43m, No. 216

---

No. 7
Here is a relaxed SmSnRu2C crystal from Alexandria. Energies are from GGA-PBE.

Cell: 6.1591 6.1591 7.5958 Å, 90.00 90.00 141.16°
Last column: nearest neighbours and their distance in Å.
Atoms (fractional coordinates):
Sm: 0.0444 0.9556 0.7500  4 C 2.84
Sm: 0.9556 0.0444 0.2500  4 C 2.84
Sn: 0.2339 0.7661 0.2500  6 Ru 2.67-2.68
Sn: 0.7661 0.2339 0.7500  6 Ru 2.67-2.68
Ru: 0.3456 0.6544 0.5576  1 C 1.85
Ru: 0.3456 0.6544 0.9424  1 C 1.85
Ru: 0.6544 0.3456 0.0576  1 C 1.85
Ru: 0.6544 0.3456 0.4424  1 C 1.85
C: 0.5000 0.5000 0.0000  2 Ru 1.85
C: 0.5000 0.5000 0.5000  2 Ru 1.85

Computed properties:
- Calculated total energy: -76.025 eV/cell
- Space group: Cmcm, No. 63

---

No. 8
Here is a relaxed MgTaMn crystal from Alexandria. Energies are from GGA-PBE.

Cell: 4.3877 4.3877 4.3877 Å, 60.00 60.00 60.00°
Last column: nearest neighbours and their distance in Å.
Atoms (fractional coordinates):
Mg: 0.0000 0.0000 0.0000  4 Ta 2.69
Ta: 0.7500 0.7500 0.7500  4 Mn 2.69, 4 Mg 2.69
Mn: 0.5000 0.5000 0.5000  4 Ta 2.69

Computed properties:
- E above lowest polymorph: 1005 meV per atom
- Space group: F-43m, No. 216

---

No. 9
Here is a relaxed TmUTl2O8 crystal from Alexandria. Energies are from GGA-PBE.

Cell: 5.1747 6.8189 5.1763 Å, 90.00 91.62 90.00°
Last column: nearest neighbours and their distance in Å.
Atoms (fractional coordinates):
Tm: 0.0000 0.0000 0.0000  6 O 2.19-2.26
U: 0.0000 0.5000 0.0000  6 O 2.04-2.17
Tl: 0.5000 0.2471 0.5000  6 O 2.20-2.41
Tl: 0.5000 0.7529 0.5000  6 O 2.20-2.41
O: 0.1764 0.2702 0.8247  1 U 2.04, 1 Tm 2.26
O: 0.1764 0.7298 0.8247  1 U 2.04, 1 Tm 2.26
O: 0.3000 0.5000 0.3012  1 U 2.17, 2 Tl 2.25
O: 0.3030 0.0000 0.3044  1 Tm 2.19, 2 Tl 2.20
O: 0.6970 0.0000 0.6956  1 Tm 2.19, 2 Tl 2.20
O: 0.7000 0.5000 0.6988  1 U 2.17, 2 Tl 2.25
O: 0.8236 0.2702 0.1753  1 U 2.04, 1 Tm 2.26
O: 0.8236 0.7298 0.1753  1 U 2.04, 1 Tm 2.26

Computed properties:
- Space group: P2/m, No. 10
- Formation energy (no corrections): -1978 meV/atom

---

No. 10
Here is a relaxed TlGa6Br12 crystal from Alexandria. Energies are from GGA-PBE.

Cell: 10.1720 10.1720 10.1720 Å, 107.89 107.89 107.89°
Last column: nearest neighbours and their distance in Å.
Atoms (fractional coordinates):
Tl: 0.0000 0.0000 0.0000  6 Br 3.37
Ga: 0.2867 0.4057 0.4971  2 Br 2.37-2.51
Ga: 0.4057 0.4971 0.2867  2 Br 2.37-2.51
Ga: 0.4971 0.2867 0.4057  2 Br 2.37-2.51
Ga: 0.5029 0.7133 0.5943  2 Br 2.37-2.51
Ga: 0.5943 0.5029 0.7133  2 Br 2.37-2.51
Ga: 0.7133 0.5943 0.5029  2 Br 2.37-2.51
Br: 0.0589 0.1699 0.3679  1 Ga 2.37
Br: 0.1699 0.3679 0.0589  1 Ga 2.37
Br: 0.2097 0.6212 0.5477  2 Ga 2.51-2.67
Br: 0.3679 0.0589 0.1699  1 Ga 2.37
Br: 0.3788 0.4523 0.7903  2 Ga 2.51-2.67
Br: 0.4523 0.7903 0.3788  2 Ga 2.51-2.67
Br: 0.5477 0.2097 0.6212  2 Ga 2.51-2.67
Br: 0.6212 0.5477 0.2097  2 Ga 2.51-2.67
Br: 0.6321 0.9411 0.8301  1 Ga 2.37
Br: 0.7903 0.3788 0.4523  2 Ga 2.51-2.67
Br: 0.8301 0.6321 0.9411  1 Ga 2.37
Br: 0.9411 0.8301 0.6321  1 Ga 2.37

Computed properties:
- Space group: R-3, No. 148
- Formation energy (no corrections): -581 meV/atom

---

No. 11
Here is a relaxed LiCd2In crystal from Alexandria. Energies are from GGA-PBE.

Cell: 6.4116 6.4116 6.4116 Å, 102.18 102.18 125.30°
Last column: nearest neighbours and their distance in Å.
Atoms (fractional coordinates):
Li: 0.0000 0.0000 0.0000  4 Cd 2.84, 2 In 2.95
Li: 0.7500 0.2500 0.5000  4 Cd 2.84, 2 In 2.95
Cd: 0.1057 0.6250 0.9807  2 Li 2.84, 2 Cd 2.96, 2 In 3.05
Cd: 0.3750 0.3557 0.4807  2 Li 2.84, 2 Cd 2.96, 2 In 3.05
Cd: 0.6443 0.1250 0.0193  2 Li 2.84, 2 Cd 2.96, 2 In 3.05
Cd: 0.8750 0.8943 0.5193  2 Li 2.84, 2 Cd 2.96, 2 In 3.05
In: 0.2500 0.7500 0.5000  2 Li 2.95, 4 Cd 3.05
In: 0.5000 0.5000 0.0000  2 Li 2.95, 4 Cd 3.05

Computed properties:
- Calculated total energy: -12.856 eV/cell
- Space group: I-42d, No. 122

---

No. 12
Here is a relaxed Mg3SiB crystal from Alexandria. Energies are from GGA-PBE.

Cell: 4.5087 4.5087 4.5087 Å, 90.00 90.00 90.00°
Last column: nearest neighbours and their distance in Å.
Atoms (fractional coordinates):
Mg: 0.0000 0.0000 0.5000  2 B 2.25
Mg: 0.0000 0.5000 0.0000  2 B 2.25
Mg: 0.5000 0.0000 0.0000  2 B 2.25
Si: 0.5000 0.5000 0.5000  12 Mg 3.19
B: 0.0000 0.0000 0.0000  6 Mg 2.25

Computed properties:
- E above lowest polymorph: 0 meV per atom
- Space group: Pm-3m, No. 221
- Formation energy (no corrections): 348 meV/atom

---

Number 1: D(E_F) 10.77 states/eV/f.u., size of the total moment 3.00 μB per formula unit. Number 2: D(E_F) 2.72 states/eV/f.u., size of the total moment 0.71 μB per formula unit. Number 3: D(E_F) 6.24 states/eV/f.u., size of the total moment 0.00 μB per formula unit. Number 4: D(E_F) 10.40 states/eV/f.u., size of the total moment 1.99 μB per formula unit. Number 5: D(E_F) 3.41 states/eV/f.u., size of the total moment 0.00 μB per formula unit. Number 6: D(E_F) 3.92 states/eV/f.u., size of the total moment 0.00 μB per formula unit. Number 7: D(E_F) 3.65 states/eV/f.u., size of the total moment 0.00 μB per formula unit. Number 8: D(E_F) 4.05 states/eV/f.u., size of the total moment 0.77 μB per formula unit. Number 9: D(E_F) 7.94 states/eV/f.u., size of the total moment 0.00 μB per formula unit. Number 10: D(E_F) 13.16 states/eV/f.u., size of the total moment 0.32 μB per formula unit. Number 11: D(E_F) 1.85 states/eV/f.u., size of the total moment 0.00 μB per formula unit. Number 12: D(E_F) 3.52 states/eV/f.u., size of the total moment 0.00 μB per formula unit.